This record from the Alexandria database describes a geometry-optimized Rb2BaGa2 structure. The functional is PBE.

The structure belongs to space group P4/mbm (No. 127); the cell edges are 8.5278, 8.5278 and 6.2526 Å and the angles 90.00°, 90.00° and 90.00°. The asymmetric unit holds Rb at (0.1737, 0.3263, 0.0000), Ba at (0.0000, 0.0000, 0.5000) and Ga at (0.1016, 0.6016, 0.5000).

The calculation puts the energy above the most stable polymorph in this dataset at 0.0 meV/atom. The total energy comes out at -19.49 eV per cell. The calculation puts the energy of formation at 33 meV per atom.